Entry 1:
PBE ZnSnPd2, optimized geometry; DOS at the Fermi energy = 1.490 states/eV/f.u.; symmetry = P4/mmm (123); energy of formation = -449 meV/atom; total energy = -4.36 eV/atom
1.0
3.1748 0.0000 0.0000
0.0000 3.1748 0.0000
0.0000 0.0000 6.6074
Pd Zn Sn
2 1 1
Direct
0.0000 0.0000 0.2266 Pd
0.0000 0.0000 0.7734 Pd
0.5000 0.5000 0.0000 Zn
0.5000 0.5000 0.5000 Sn

---

Entry 2:
PBE Zr4HgRh, optimized geometry; DOS at the Fermi energy = 6.133 states/eV/f.u.; symmetry = C2/m (12); energy of formation = -18 meV/atom; total energy = -6.99 eV/atom
1.0
-4.8884 2.2374 -3.6312
0.1603 -5.4228 -3.5572
-4.4904 -2.8995 4.2587
Hg Rh Zr
2 2 8
Direct
0.5000 0.0000 0.5000 Hg
0.0000 0.5000 0.5000 Hg
0.5000 0.5000 0.0000 Rh
0.0000 0.0000 0.0000 Rh
0.7501 0.2507 0.7698 Zr
0.7499 0.2492 0.2301 Zr
0.2499 0.7493 0.2302 Zr
0.2501 0.2493 0.2302 Zr
0.7501 0.7492 0.2301 Zr
0.7499 0.7507 0.7698 Zr
0.2499 0.2508 0.7699 Zr
0.2501 0.7508 0.7699 Zr

---

Entry 3:
PBE Tl2In2AgTe4, optimized geometry; DOS at the Fermi energy = 2.145 states/eV/f.u.; formation energy from raw total energies = -0.2060 eV per atom; symmetry = C2/m (12); total energy = -3.05 eV/atom
1.0
4.4531 0.0000 0.0000
-2.2265 8.0972 0.5723
0.0000 -2.2120 7.8211
Tl Te In Ag
2 4 2 1
Direct
0.1189 0.2378 0.5360 Tl
0.8811 0.7622 0.4640 Tl
0.7622 0.5244 0.7750 Te
0.2378 0.4756 0.2250 Te
0.5005 0.0010 0.2534 Te
0.4995 0.9990 0.7466 Te
0.6440 0.2880 0.0359 In
0.3560 0.7120 0.9641 In
0.0000 0.0000 0.0000 Ag

---

Entry 4:
PBE MoRuCl2, optimized geometry; DOS at the Fermi energy = 2.967 states/eV/f.u.; formation energy from raw total energies = 0.3295 eV per atom; symmetry = R-3m (166); total energy = -5.62 eV/atom
1.0
1.7511 0.0000 8.0910
-0.8756 1.5165 8.0910
-0.8756 -1.5165 8.0910
Mo Cl Ru
1 2 1
Direct
0.5000 0.5000 0.5000 Mo
0.9061 0.9061 0.9061 Cl
0.0939 0.0939 0.0939 Cl
0.0000 0.0000 0.0000 Ru

---

Entry 5:
PBE ErOsRh, optimized geometry; DOS at the Fermi energy = 3.106 states/eV/f.u.; symmetry = P-62m (189); energy of formation = -277 meV/atom; total energy = -7.99 eV/atom
1.0
-0.8835 1.8679 3.6728
3.8000 -4.5491 3.2276
2.7725 5.7287 -2.2465
Rh Os Er
3 3 3
Direct
0.5000 0.6667 0.3333 Rh
0.5000 0.3333 0.6667 Rh
0.0000 0.0000 0.0000 Rh
0.5000 0.2370 0.2370 Os
0.5000 0.0000 0.7630 Os
0.5000 0.7630 0.0000 Os
0.0000 0.5924 0.5924 Er
0.0000 0.4076 0.0000 Er
0.0000 0.0000 0.4076 Er

---

Entry 6:
PBE LiScCr2, optimized geometry; DOS at the Fermi energy = 4.206 states/eV/f.u.; symmetry = P2/m (10); energy of formation = 536 meV/atom; total energy = -6.34 eV/atom
1.0
4.6580 0.0000 0.0000
0.0000 2.6493 -0.0399
0.0000 0.8359 4.6468
Sc Li Cr
1 1 2
Direct
0.5000 0.7500 0.7500 Sc
0.5000 0.2500 0.2500 Li
0.0000 0.0811 0.9893 Cr
0.0000 0.4189 0.5107 Cr

---

Entry 7:
PBE Co2BiB, optimized geometry; DOS at the Fermi energy = 3.357 states/eV/f.u.; symmetry = I-42d (122); energy of formation = 468 meV/atom; total energy = -5.72 eV/atom
1.0
4.4917 0.0000 0.0000
0.0000 4.4917 0.0000
2.2458 2.2458 6.1941
B Co Bi
2 4 2
Direct
0.5000 0.5000 0.0000 B
0.2500 0.7500 0.5000 B
0.4530 0.1250 0.2500 Co
0.2970 0.6250 0.2500 Co
0.3750 0.5470 0.7500 Co
0.8750 0.7030 0.7500 Co
0.0000 0.0000 0.0000 Bi
0.7500 0.2500 0.5000 Bi

---

Entry 8:
PBE CoTcTeI2, optimized geometry; DOS at the Fermi energy = 4.518 states/eV/f.u.; formation energy from raw total energies = 1.0200 eV per atom; symmetry = P4/mmm (123); total energy = -3.72 eV/atom
1.0
5.2459 0.0000 0.0000
0.0000 5.2459 0.0000
0.0000 0.0000 5.0740
Tc I Co Te
1 2 1 1
Direct
0.5000 0.5000 0.5000 Tc
0.0000 0.5000 0.0000 I
0.5000 0.0000 0.0000 I
0.0000 0.0000 0.0000 Co
0.0000 0.0000 0.5000 Te